1.
Density functional theory data (PBE) for a relaxed structure of Ba2Ga4Au5.

Cell lengths 6.303, 10.855, 15.428 Å; angles 90.00, 90.00, 90.00 degrees
Space group Fmmm (No. 69)
Inequivalent atoms, fractional coordinates:
Ba: 0.000 0.000 0.138
Ga: 0.000 0.162 0.373
Au: 0.000 0.000 0.500
Au: 0.250 0.250 0.000
Au: 0.250 0.250 0.250

Calculated values
M_tot	0.00	μB/f.u.
crystal system	orthorhombic
offset from the most stable computed form	0.000	eV/atom
E_tot	-151.39	eV for the cell shown
formation energy	-501	meV/atom


2.
Density functional theory data (PBE) for a relaxed structure of TbThGaRu.

Cell lengths 3.868, 4.190, 11.553 Å; angles 90.00, 90.00, 90.00 degrees
Space group Amm2 (No. 38)
Inequivalent atoms, fractional coordinates:
Tb: 0.000 0.000 0.000
Th: 0.500 0.000 0.277
Ga: 0.500 0.000 0.575
Ru: 0.000 0.000 0.736

Calculated values
M_tot	0.00	μB/f.u.
crystal system	orthorhombic
offset from the most stable computed form	0.000	eV/atom
E_tot	-53.41	eV for the cell shown
formation energy	-588	meV/atom


3.
Density functional theory data (PBE) for a relaxed structure of LiSbCl.

Cell lengths 3.229, 3.229, 18.209 Å; angles 90.00, 90.00, 90.00 degrees
Space group I4mm (No. 107)
Inequivalent atoms, fractional coordinates:
Li: 0.000 0.000 0.000
Sb: 0.000 0.000 0.266
Cl: 0.000 0.000 0.501

Calculated values
M_tot	0.25	μB/f.u.
crystal system	tetragonal
offset from the most stable computed form	0.000	eV/atom
E_tot	-20.72	eV for the cell shown


4.
Density functional theory data (PBE) for a relaxed structure of TlSbPbCl.

Cell lengths 7.702, 7.702, 7.702 Å; angles 90.00, 90.00, 90.00 degrees
Space group F-43m (No. 216)
Inequivalent atoms, fractional coordinates:
Tl: 0.000 0.000 0.000
Sb: 0.250 0.250 0.250
Pb: 0.000 0.000 0.500
Cl: 0.250 0.250 0.750

Calculated values
M_tot	0.00	μB/f.u.
crystal system	cubic
E_tot	-52.97	eV for the cell shown


5.
Density functional theory data (PBE) for a relaxed structure of Li2PmThAu4.

Cell lengths 5.0987, 5.0987, 23.3293 Å; angles 90.00, 90.00, 120.00 degrees
Space group R-3m (No. 166, hexagonal axes)
Inequivalent atoms, fractional coordinates:
Li: 0.0000 0.0000 0.2486
Pm: 0.0000 0.0000 0.5000
Th: 0.0000 0.0000 0.0000
Au: 0.0000 0.0000 0.1309
Au: 0.0000 0.0000 0.3671

Calculated values
M_tot	0.00	μB/f.u.
crystal system	trigonal
E_tot	-102.72	eV for the cell shown
formation energy	-641	meV/atom


6.
Density functional theory data (PBE) for a relaxed structure of Hf2TiMo.

Cell lengths 6.715, 6.715, 6.715 Å; angles 90.00, 90.00, 90.00 degrees
Space group Fm-3m (No. 225)
Inequivalent atoms, fractional coordinates:
Hf: 0.250 0.250 0.250
Ti: 0.000 0.000 0.000
Mo: 0.000 0.000 0.500

Calculated values
M_tot	0.00	μB/f.u.
crystal system	cubic
offset from the most stable computed form	0.018	eV/atom
E_tot	-153.88	eV for the cell shown
formation energy	40	meV/atom


7.
Density functional theory data (PBE) for a relaxed structure of ZnGa2PO.

Cell lengths 4.635, 4.635, 3.856 Å; angles 90.00, 90.00, 90.00 degrees
Space group P4/mmm (No. 123)
Inequivalent atoms, fractional coordinates:
Zn: 0.000 0.000 0.000
Ga: 0.000 0.500 0.500
P: 0.500 0.500 0.000
O: 0.000 0.000 0.500

Calculated values
M_tot	0.00	μB/f.u.
crystal system	tetragonal
E_tot	-18.05	eV for the cell shown


8.
Density functional theory data (PBE) for a relaxed structure of Ce5Sm5Ge6.

Cell lengths 6.266, 15.262, 8.833 Å; angles 90.00, 90.00, 90.00 degrees
Space group Amm2 (No. 38)
Inequivalent atoms, fractional coordinates:
Ce: 0.000 0.000 0.000
Ce: 0.220 0.166 0.243
Sm: 0.000 0.125 0.619
Sm: 0.500 0.000 0.486
Sm: 0.500 0.128 0.871
Ge: 0.000 0.000 0.365
Ge: 0.000 0.191 0.935
Ge: 0.500 0.000 0.129
Ge: 0.500 0.194 0.549

Calculated values
M_tot	3.04	μB/f.u.
crystal system	orthorhombic
E_tot	-183.68	eV for the cell shown
formation energy	-679	meV/atom


9.
Density functional theory data (PBE) for a relaxed structure of NaSrS.

Cell lengths 5.0299, 5.0299, 31.0429 Å; angles 90.00, 90.00, 120.00 degrees
Space group R-3m (No. 166, hexagonal axes)
Inequivalent atoms, fractional coordinates:
Na: 0.0000 0.0000 0.1963
Sr: 0.0000 0.0000 0.3817
S: 0.0000 0.0000 0.2865

Calculated values
M_tot	0.00	μB/f.u.
crystal system	trigonal
E_tot	-64.47	eV for the cell shown


10.
Density functional theory data (PBE) for a relaxed structure of GdErIn2.

Cell lengths 3.6750, 3.6750, 29.3664 Å; angles 90.00, 90.00, 120.00 degrees
Space group R-3m (No. 166, hexagonal axes)
Inequivalent atoms, fractional coordinates:
Gd: 0.0000 0.0000 0.0000
Er: 0.0000 0.0000 0.5000
In: 0.0000 0.0000 0.2487

Calculated values
M_tot	7.16	μB/f.u.
crystal system	trigonal
E_tot	-76.21	eV for the cell shown
formation energy	-320	meV/atom


11.
Density functional theory data (PBE) for a relaxed structure of SrZrNF2.

Cell lengths 4.298, 4.298, 5.340 Å; angles 90.00, 90.00, 90.00 degrees
Space group P4/mmm (No. 123)
Inequivalent atoms, fractional coordinates:
Sr: 0.000 0.000 0.000
Zr: 0.500 0.500 0.500
N: 0.000 0.000 0.500
F: 0.000 0.500 0.000

Calculated values
M_tot	0.99	μB/f.u.
crystal system	tetragonal
offset from the most stable computed form	1.170	eV/atom
E_tot	-27.31	eV for the cell shown


12.
Density functional theory data (PBE) for a relaxed structure of HoTl2Cl5.

Cell lengths 13.009, 8.590, 8.327 Å; angles 90.00, 90.00, 90.00 degrees
Space group Pnma (No. 62)
Inequivalent atoms, fractional coordinates:
Ho: 0.005 0.250 0.072
Tl: 0.169 0.009 0.576
Cl: 0.010 0.250 0.400
Cl: 0.061 0.547 0.163
Cl: 0.183 0.250 0.913
Cl: 0.194 0.750 0.857

Calculated values
M_tot	0.00	μB/f.u.
crystal system	orthorhombic
E_tot	-127.85	eV for the cell shown